{
  "formula": "Ba3YTl2O6",
  "functional": "PBE",
  "state": "relaxed",
  "lattice_angstrom": [[6.317, 0.000, 0.000], [-3.159, 5.471, 0.000], [0.000, 0.000, 7.109]],
  "species": ["Ba", "Ba", "Ba", "Y", "Tl", "Tl", "O", "O", "O", "O", "O", "O"],
  "frac_coords": [[0.000, 0.000, 0.000], [0.333, 0.667, 0.611], [0.667, 0.333, 0.389], [0.000, 0.000, 0.500], [0.333, 0.667, 0.126], [0.667, 0.333, 0.874], [0.166, 0.332, 0.313], [0.166, 0.834, 0.313], [0.332, 0.166, 0.687], [0.668, 0.834, 0.313], [0.834, 0.166, 0.687], [0.834, 0.668, 0.687]],
  "formation_energy_uncorrected_kcal_per_mol_atoms": -48.7,
  "crystal_system": "trigonal",
  "density_g_cm3": 6.797,
  "dos_ef_per_ev_cell": 6.933
}



{
  "formula": "AgTe12Pd7",
  "functional": "PBE",
  "state": "relaxed",
  "lattice_angstrom": [[6.482, 3.742, 3.602], [-6.482, 3.742, 3.602], [0.000, -7.484, 3.602]],
  "species": ["Ag", "Te", "Te", "Te", "Te", "Te", "Te", "Te", "Te", "Te", "Te", "Te", "Te", "Pd", "Pd", "Pd", "Pd", "Pd", "Pd", "Pd"],
  "frac_coords": [[0.000, 0.000, 0.000], [0.032, 0.711, 0.222], [0.156, 0.392, 0.456], [0.222, 0.032, 0.711], [0.289, 0.778, 0.968], [0.392, 0.456, 0.156], [0.456, 0.156, 0.392], [0.544, 0.844, 0.608], [0.608, 0.544, 0.844], [0.711, 0.222, 0.032], [0.778, 0.968, 0.289], [0.844, 0.608, 0.544], [0.968, 0.289, 0.778], [0.059, 0.363, 0.121], [0.121, 0.059, 0.363], [0.363, 0.121, 0.059], [0.500, 0.500, 0.500], [0.637, 0.879, 0.941], [0.879, 0.941, 0.637], [0.941, 0.637, 0.879]],
  "formation_energy_uncorrected_kcal_per_mol_atoms": -4.6,
  "crystal_system": "trigonal",
  "density_g_cm3": 7.552,
  "dos_ef_per_ev_cell": 9.148
}



{
  "formula": "Tb2AsH",
  "functional": "PBE",
  "state": "relaxed",
  "lattice_angstrom": [[1.990, 1.149, 6.027], [-1.990, 1.149, 6.027], [0.000, -2.298, 6.027]],
  "species": ["Tb", "Tb", "As", "H"],
  "frac_coords": [[0.243, 0.243, 0.243], [0.757, 0.757, 0.757], [0.000, 0.000, 0.000], [0.500, 0.500, 0.500]],
  "crystal_system": "trigonal",
  "de_polymorph_mev_per_atom": 79,
  "density_g_cm3": 7.906,
  "dos_ef_per_ev_cell": 1.580
}



{
  "formula": "LaMg5Au2",
  "functional": "PBE",
  "state": "relaxed",
  "lattice_angstrom": [[-2.182, 4.133, 5.174], [2.182, -4.133, 5.174], [2.182, 4.133, -5.174]],
  "species": ["La", "Mg", "Mg", "Mg", "Mg", "Mg", "Au", "Au"],
  "frac_coords": [[0.000, 0.000, 0.000], [0.158, 0.343, 0.815], [0.472, 0.657, 0.815], [0.500, 0.000, 0.500], [0.528, 0.343, 0.185], [0.842, 0.657, 0.185], [0.236, 0.736, 0.500], [0.764, 0.264, 0.500]],
  "crystal_system": "orthorhombic",
  "formation_enthalpy_0k_ev_per_atom": -0.46,
  "density_g_cm3": 5.821,
  "dos_ef_per_ev_cell": 5.709
}



{
  "formula": "Y4AuBr",
  "functional": "PBE",
  "state": "relaxed",
  "lattice_angstrom": [[0.000, 4.496, 4.496], [4.496, 0.000, 4.496], [4.496, 4.496, 0.000]],
  "species": ["Y", "Y", "Y", "Y", "Au", "Br"],
  "frac_coords": [[0.124, 0.124, 0.124], [0.124, 0.124, 0.628], [0.124, 0.628, 0.124], [0.628, 0.124, 0.124], [0.750, 0.750, 0.750], [0.500, 0.500, 0.500]],
  "formation_energy_uncorrected_kcal_per_mol_atoms": 6.9,
  "crystal_system": "cubic",
  "density_g_cm3": 5.779,
  "dos_ef_per_ev_cell": 6.881
}



{
  "formula": "YMo2",
  "functional": "PBE",
  "state": "relaxed",
  "lattice_angstrom": [[-3.347, 3.347, 2.875], [3.347, -3.347, 2.875], [3.347, 3.347, -2.875]],
  "species": ["Y", "Y", "Mo", "Mo", "Mo", "Mo"],
  "frac_coords": [[0.250, 0.250, 0.000], [0.750, 0.750, 0.000], [0.120, 0.620, 0.740], [0.380, 0.120, 0.500], [0.620, 0.880, 0.500], [0.880, 0.380, 0.260]],
  "crystal_system": "tetragonal",
  "formation_enthalpy_0k_ev_per_atom": 1.24,
  "density_g_cm3": 7.237,
  "dos_ef_per_ev_cell": 9.561
}



{
  "formula": "LiAc2Sb",
  "functional": "PBE",
  "state": "relaxed",
  "lattice_angstrom": [[2.252, 1.300, 8.061], [-2.252, 1.300, 8.061], [0.000, -2.600, 8.061]],
  "species": ["Li", "Ac", "Ac", "Sb"],
  "frac_coords": [[0.000, 0.000, 0.000], [0.234, 0.234, 0.234], [0.430, 0.430, 0.430], [0.665, 0.665, 0.665]],
  "formation_energy_uncorrected_kcal_per_mol_atoms": -11.8,
  "crystal_system": "trigonal",
  "de_polymorph_mev_per_atom": 1,
  "density_g_cm3": 6.835,
  "dos_ef_per_ev_cell": 4.197
}



{
  "formula": "LiLaW2",
  "functional": "PBE",
  "state": "relaxed",
  "lattice_angstrom": [[3.393, 0.000, 0.000], [0.000, 3.393, 0.000], [0.000, 0.000, 6.828]],
  "species": ["Li", "La", "W", "W"],
  "frac_coords": [[0.000, 0.000, 0.000], [0.000, 0.000, 0.500], [0.500, 0.500, 0.171], [0.500, 0.500, 0.829]],
  "crystal_system": "tetragonal",
  "formation_enthalpy_0k_ev_per_atom": 0.87,
  "de_polymorph_mev_per_atom": 421,
  "density_g_cm3": 10.846,
  "dos_ef_per_ev_cell": 3.984
}



{
  "formula": "Dy2TmHg2",
  "functional": "PBE",
  "state": "relaxed",
  "lattice_angstrom": [[8.402, 0.000, 0.000], [0.000, 8.402, 0.000], [0.000, 0.000, 3.847]],
  "species": ["Dy", "Dy", "Dy", "Dy", "Tm", "Tm", "Hg", "Hg", "Hg", "Hg"],
  "frac_coords": [[0.167, 0.333, 0.000], [0.333, 0.833, 0.000], [0.667, 0.167, 0.000], [0.833, 0.667, 0.000], [0.000, 0.000, 0.500], [0.500, 0.500, 0.500], [0.133, 0.633, 0.500], [0.367, 0.133, 0.500], [0.633, 0.867, 0.500], [0.867, 0.367, 0.500]],
  "crystal_system": "tetragonal",
  "formation_enthalpy_0k_ev_per_atom": -0.38,
  "de_polymorph_mev_per_atom": 0,
  "density_g_cm3": 10.946,
  "dos_ef_per_ev_cell": 6.194
}



{
  "formula": "Ca4La3Nd",
  "functional": "PBE",
  "state": "relaxed",
  "lattice_angstrom": [[5.370, 0.000, 0.000], [0.000, 10.749, 0.000], [0.000, 0.000, 10.891]],
  "species": ["Ca", "Ca", "Ca", "Ca", "Ca", "Ca", "Ca", "Ca", "La", "La", "La", "La", "La", "La", "Nd", "Nd"],
  "frac_coords": [[0.250, 0.001, 0.132], [0.250, 0.250, 0.870], [0.250, 0.499, 0.132], [0.250, 0.750, 0.868], [0.750, 0.250, 0.132], [0.750, 0.501, 0.868], [0.750, 0.750, 0.130], [0.750, 0.999, 0.868], [0.250, 0.501, 0.611], [0.250, 0.750, 0.388], [0.250, 0.999, 0.611], [0.750, 0.001, 0.389], [0.750, 0.250, 0.612], [0.750, 0.499, 0.389], [0.250, 0.250, 0.387], [0.750, 0.750, 0.613]],
  "crystal_system": "orthorhombic",
  "formation_enthalpy_0k_ev_per_atom": 0.02,
  "density_g_cm3": 3.810,
  "dos_ef_per_ev_cell": 22.354
}



{
  "formula": "NdY6Er2",
  "functional": "PBE",
  "state": "relaxed",
  "lattice_angstrom": [[10.830, -4.841, 0.000], [10.830, 4.841, 0.000], [-1.507, 0.000, 5.524]],
  "species": ["Nd", "Nd", "Y", "Y", "Y", "Y", "Y", "Y", "Y", "Y", "Y", "Y", "Y", "Y", "Er", "Er", "Er", "Er"],
  "frac_coords": [[0.250, 0.750, 0.750], [0.750, 0.250, 0.250], [0.003, 0.167, 0.806], [0.083, 0.582, 0.583], [0.167, 0.003, 0.306], [0.333, 0.497, 0.137], [0.418, 0.917, 0.917], [0.497, 0.333, 0.637], [0.503, 0.667, 0.363], [0.582, 0.083, 0.083], [0.667, 0.503, 0.863], [0.833, 0.997, 0.694], [0.917, 0.418, 0.417], [0.997, 0.833, 0.194], [0.168, 0.332, 0.033], [0.332, 0.168, 0.533], [0.668, 0.832, 0.467], [0.832, 0.668, 0.967]],
  "crystal_system": "monoclinic",
  "formation_enthalpy_0k_ev_per_atom": 0.07,
  "de_polymorph_mev_per_atom": 46,
  "density_g_cm3": 5.804,
  "dos_ef_per_ev_cell": 31.523
}



{
  "formula": "La2PrSm3S6",
  "functional": "PBE",
  "state": "relaxed",
  "lattice_angstrom": [[3.519, -6.111, 0.000], [3.519, 6.111, 0.000], [-2.355, 0.000, 6.666]],
  "species": ["La", "La", "Pr", "Sm", "Sm", "Sm", "S", "S", "S", "S", "S", "S"],
  "frac_coords": [[0.166, 0.834, 0.000], [0.834, 0.166, 0.000], [0.500, 0.500, 0.000], [0.000, 0.000, 0.500], [0.334, 0.666, 0.500], [0.666, 0.334, 0.500], [0.081, 0.413, 0.740], [0.254, 0.254, 0.260], [0.413, 0.081, 0.740], [0.587, 0.919, 0.260], [0.746, 0.746, 0.740], [0.919, 0.587, 0.260]],
  "formation_energy_uncorrected_kcal_per_mol_atoms": -47.9,
  "crystal_system": "monoclinic",
  "density_g_cm3": 6.153,
  "dos_ef_per_ev_cell": 5.739
}



{
  "formula": "TaAlV",
  "functional": "PBE",
  "state": "relaxed",
  "lattice_angstrom": [[4.547, 0.000, 0.000], [-2.274, 3.938, 0.000], [0.000, 0.000, 5.316]],
  "species": ["Ta", "Ta", "Al", "Al", "V", "V"],
  "frac_coords": [[0.333, 0.667, 0.421], [0.667, 0.333, 0.579], [0.000, 0.000, 0.244], [0.000, 0.000, 0.756], [0.333, 0.667, 0.925], [0.667, 0.333, 0.075]],
  "crystal_system": "trigonal",
  "formation_enthalpy_0k_ev_per_atom": -0.06,
  "de_polymorph_mev_per_atom": 153,
  "density_g_cm3": 9.031,
  "dos_ef_per_ev_cell": 4.162
}



{
  "formula": "Ba2NpClO4",
  "functional": "PBE",
  "state": "relaxed",
  "lattice_angstrom": [[5.559, -1.836, 0.000], [5.559, 1.836, 0.000], [-4.374, 0.000, 9.086]],
  "species": ["Ba", "Ba", "Np", "Cl", "O", "O", "O", "O"],
  "frac_coords": [[0.173, 0.173, 0.270], [0.827, 0.827, 0.730], [0.000, 0.000, 0.500], [0.500, 0.500, 0.000], [0.147, 0.147, 0.699], [0.397, 0.397, 0.550], [0.603, 0.603, 0.450], [0.853, 0.853, 0.301]],
  "formation_energy_uncorrected_kcal_per_mol_atoms": -64.0,
  "crystal_system": "monoclinic",
  "density_g_cm3": 5.472,
  "dos_ef_per_ev_cell": 3.244
}



{
  "formula": "MnPHCS",
  "functional": "PBE",
  "state": "relaxed",
  "lattice_angstrom": [[4.930, -1.373, 0.000], [4.930, 1.373, 0.000], [-2.112, 0.000, 4.097]],
  "species": ["Mn", "P", "H", "C", "S"],
  "frac_coords": [[0.000, 0.000, 0.000], [0.436, 0.436, 0.562], [0.671, 0.671, 0.543], [0.551, 0.551, 0.352], [0.231, 0.231, 0.084]],
  "crystal_system": "monoclinic",
  "de_polymorph_mev_per_atom": 211,
  "density_g_cm3": 3.921,
  "dos_ef_per_ev_cell": 1.633
}



{
  "formula": "LiLaGePt2",
  "functional": "PBE",
  "state": "relaxed",
  "lattice_angstrom": [[-2.052, 2.052, 5.786], [2.052, -2.052, 5.786], [2.052, 2.052, -5.786]],
  "species": ["Li", "La", "Ge", "Pt", "Pt"],
  "frac_coords": [[0.000, 0.000, 0.000], [0.250, 0.750, 0.500], [0.500, 0.500, 0.000], [0.632, 0.132, 0.500], [0.868, 0.368, 0.500]],
  "crystal_system": "tetragonal",
  "formation_enthalpy_0k_ev_per_atom": -0.92,
  "density_g_cm3": 10.367,
  "dos_ef_per_ev_cell": 2.816
}



{
  "formula": "BeVFeCu",
  "functional": "PBE",
  "state": "relaxed",
  "lattice_angstrom": [[0.000, 2.800, 2.800], [2.800, 0.000, 2.800], [2.800, 2.800, 0.000]],
  "species": ["Be", "V", "Fe", "Cu"],
  "frac_coords": [[0.000, 0.000, 0.000], [0.500, 0.500, 0.500], [0.750, 0.750, 0.750], [0.250, 0.250, 0.250]],
  "crystal_system": "cubic",
  "formation_enthalpy_0k_ev_per_atom": 0.02,
  "density_g_cm3": 6.782,
  "dos_ef_per_ev_cell": 3.215
}



{
  "formula": "SiAu",
  "functional": "PBE",
  "state": "relaxed",
  "lattice_angstrom": [[3.204, 0.000, 0.000], [-1.602, 2.775, 0.000], [0.000, 0.000, 7.789]],
  "species": ["Si", "Si", "Au", "Au"],
  "frac_coords": [[0.333, 0.667, 0.116], [0.667, 0.333, 0.884], [0.333, 0.667, 0.649], [0.667, 0.333, 0.351]],
  "formation_energy_uncorrected_kcal_per_mol_atoms": 5.6,
  "crystal_system": "trigonal",
  "density_g_cm3": 10.791,
  "dos_ef_per_ev_cell": 1.394
}



{
  "formula": "SmTmOsPt",
  "functional": "PBE",
  "state": "relaxed",
  "lattice_angstrom": [[0.000, 3.460, 3.460], [3.460, 0.000, 3.460], [3.460, 3.460, 0.000]],
  "species": ["Sm", "Tm", "Os", "Pt"],
  "frac_coords": [[0.000, 0.000, 0.000], [0.500, 0.500, 0.500], [0.750, 0.750, 0.750], [0.250, 0.250, 0.250]],
  "crystal_system": "cubic",
  "formation_enthalpy_0k_ev_per_atom": -0.61,
  "density_g_cm3": 14.128,
  "dos_ef_per_ev_cell": 1.573
}



{
  "formula": "BeIr",
  "functional": "PBE",
  "state": "relaxed",
  "lattice_angstrom": [[3.605, 0.000, 0.000], [-1.802, 3.122, 0.000], [0.000, 0.000, 4.120]],
  "species": ["Be", "Be", "Ir", "Ir"],
  "frac_coords": [[0.000, 0.000, 0.000], [0.000, 0.000, 0.500], [0.333, 0.667, 0.250], [0.667, 0.333, 0.750]],
  "crystal_system": "hexagonal",
  "formation_enthalpy_0k_ev_per_atom": -0.15,
  "density_g_cm3": 14.414,
  "dos_ef_per_ev_cell": 3.335
}